# 1
5
Lattice="-3.863 -2.305 1.862 -1.551 -1.033 -4.498 2.525 -4.162 0.085" Properties=species:S:1:pos:R:3 comment="PBE-GGA Tl3SiH, optimized geometry" spacegroup=Pm-3m crystal_system=cubic polymorph_energy_mev_per_atom=0.0 rho_g_cm3=9.2 final_energy_ev_per_atom=-2.691 pbc="T T T"
H 0.000 0.000 0.000
Tl -0.776 -0.517 -2.249
Tl 1.262 -2.081 0.043
Tl -1.932 -1.153 0.931
Si -1.445 -3.750 -1.275


# 2
4
Lattice="-2.230 2.954 0.911 -1.342 -3.557 0.274 1.884 -0.284 5.532" Properties=species:S:1:pos:R:3 comment="PBE-GGA Cr2SbAs, optimized geometry" spacegroup=P-6m2 crystal_system=hexagonal rho_g_cm3=6.8 final_energy_ev_per_atom=-7.016 pbc="T T T"
Sb -1.638 -1.387 0.487
As -0.992 0.642 3.465
Cr 1.382 -0.209 4.059
Cr 0.502 -0.076 1.473


# 3
4
Lattice="4.461 0.000 0.000 2.230 3.863 0.000 2.230 1.288 3.642" Properties=species:S:1:pos:R:3 comment="PBE-GGA As3C, optimized geometry" spacegroup=Fm-3m crystal_system=cubic polymorph_energy_mev_per_atom=1051.1 rho_g_cm3=6.3 formation_enthalpy_0k_ev_per_atom=1.5921 final_energy_ev_per_atom=-4.201 pbc="T T T"
As 0.000 0.000 0.000
As 2.230 1.288 0.911
As 4.461 2.576 1.821
C 6.691 3.863 2.732


# 4
9
Lattice="-3.977 -1.802 -1.778 -4.633 -2.683 6.831 -6.472 4.293 3.875" Properties=species:S:1:pos:R:3 comment="PBE-GGA LaNd2In6, optimized geometry" spacegroup=Immm crystal_system=orthorhombic polymorph_energy_mev_per_atom=122.1 rho_g_cm3=6.8 formation_enthalpy_0k_ev_per_atom=-0.3563 final_energy_ev_per_atom=-3.789 pbc="T T T"
La 0.000 0.000 0.000
Nd -10.403 -0.579 5.104
Nd -4.680 0.387 3.824
In -6.761 1.392 1.212
In -8.321 -1.584 7.716
In -9.444 2.676 5.911
In -7.191 -1.425 5.027
In -7.892 1.233 3.901
In -5.638 -2.868 3.017


# 5
8
Lattice="6.204 -0.232 -0.355 -2.853 5.514 0.355 -2.853 -1.894 5.190" Properties=species:S:1:pos:R:3 comment="PBE-GGA PaTl2AgO4, optimized geometry" spacegroup=I-4 crystal_system=tetragonal rho_g_cm3=7.9 final_energy_ev_per_atom=-6.170 pbc="T T T"
Pa 0.249 -0.158 3.804
Tl 0.249 3.546 1.386
Tl 0.000 0.000 0.000
Ag -2.853 1.810 2.773
O 1.072 0.980 2.281
O -1.778 -0.202 3.375
O 3.781 2.636 0.353
O -2.079 3.363 4.372


# 6
4
Lattice="3.269 0.000 0.000 0.000 3.265 0.000 0.000 0.000 7.413" Properties=species:S:1:pos:R:3 comment="PBE-GGA SrAl2Ni, optimized geometry" spacegroup=P4mm crystal_system=tetragonal rho_g_cm3=4.2 formation_enthalpy_0k_ev_per_atom=-0.1242 final_energy_ev_per_atom=-3.861 pbc="T T T"
Sr 1.634 1.632 5.420
Al 0.000 0.000 0.494
Al 1.634 1.632 2.146
Ni 0.000 0.000 3.059


# 7
4
Lattice="4.799 0.000 0.000 2.400 4.156 0.000 2.400 1.385 3.919" Properties=species:S:1:pos:R:3 comment="PBE-GGA UGaPdAu, optimized geometry" spacegroup=F-43m crystal_system=cubic rho_g_cm3=13.0 formation_enthalpy_0k_ev_per_atom=-0.2552 final_energy_ev_per_atom=-5.952 pbc="T T T"
Au 0.000 0.000 0.000
U 7.199 4.156 2.939
Ga 2.400 1.385 0.980
Pd 4.799 2.771 1.959


# 8
18
Lattice="8.679 0.000 0.000 0.000 8.679 0.000 -4.340 -4.340 8.269" Properties=species:S:1:pos:R:3 comment="PBE-GGA Pm5Pr2YHo, optimized geometry" spacegroup=I4/mcm crystal_system=tetragonal rho_g_cm3=6.7 formation_enthalpy_0k_ev_per_atom=0.2669 final_energy_ev_per_atom=-4.661 pbc="T T T"
Pm 6.803 2.463 2.361
Pm 2.463 -1.877 5.908
Pm -2.463 1.877 5.908
Pm -1.877 -2.463 5.908
Pm 1.877 2.463 5.908
Pm 6.216 6.803 2.361
Pm 2.463 1.877 2.361
Pm 1.877 6.216 2.361
Pm 4.340 4.340 0.000
Pm 0.000 0.000 0.000
Pr 1.051 3.289 0.000
Pr 5.390 1.051 0.000
Pr 3.289 7.629 0.000
Pr 7.629 5.390 0.000
Y 0.000 0.000 4.135
Y 4.340 4.340 4.135
Ho 0.000 4.340 4.135
Ho 4.340 0.000 4.135


# 9
4
Lattice="-0.191 2.464 4.749 -0.726 -2.469 1.252 5.004 -1.226 0.837" Properties=species:S:1:pos:R:3 comment="PBE-GGA SrAsW2, optimized geometry" spacegroup=P2/m crystal_system=monoclinic rho_g_cm3=11.0 formation_enthalpy_0k_ev_per_atom=0.7927 final_energy_ev_per_atom=-7.267 pbc="T T T"
Sr 3.113 -1.539 3.942
As 0.974 0.309 2.897
W -0.065 -0.393 0.201
W 2.205 -1.455 0.844


# 10
19
Lattice="8.487 0.000 -3.000 -4.243 7.350 -3.000 0.000 0.000 9.001" Properties=species:S:1:pos:R:3 comment="PBE-GGA Pr12InSi6, optimized geometry" spacegroup=Im-3 crystal_system=cubic rho_g_cm3=5.8 final_energy_ev_per_atom=-5.389 pbc="T T T"
Pr 2.062 0.805 6.086
Pr 0.465 3.571 -0.658
Pr 3.778 3.779 3.658
Pr 2.182 6.544 -3.085
Pr -2.515 5.967 -0.085
Pr 3.325 1.383 0.657
Pr 0.919 5.967 2.343
Pr 6.759 1.383 3.085
Pr 5.627 2.188 -2.343
Pr 0.333 2.188 2.916
Pr 3.910 5.162 0.085
Pr -1.383 5.162 5.343
In 0.000 0.000 0.000
Si 1.163 3.675 5.323
Si 3.081 3.675 -2.322
Si 0.480 6.519 -0.678
Si 3.764 0.831 3.679
Si 5.885 2.844 0.678
Si -1.642 4.505 2.322


# 11
14
Lattice="6.974 -0.286 -1.631 -4.231 5.551 -1.631 1.443 2.769 12.763" Properties=species:S:1:pos:R:3 comment="PBE-GGA Ac4DyHo2, optimized geometry" spacegroup=Cc crystal_system=monoclinic rho_g_cm3=8.6 formation_enthalpy_0k_ev_per_atom=0.1042 final_energy_ev_per_atom=-4.209 pbc="T T T"
Ac 3.418 3.445 7.758
Ac 0.143 3.391 1.377
Ac -1.090 6.844 9.347
Ac 5.512 1.644 2.966
Ac -0.329 3.661 7.497
Ac 3.756 4.313 1.179
Ac 2.104 6.934 7.560
Ac 2.468 0.444 1.115
Ho 2.217 2.541 4.458
Ho 1.645 5.070 -1.872
Ho 3.933 5.638 4.509
Ho 1.533 4.657 10.840
Dy 0.215 5.635 4.481
Dy 3.774 2.021 -1.900


# 12
4
Lattice="0.000 3.153 3.153 3.153 0.000 3.153 3.153 3.153 0.000" Properties=species:S:1:pos:R:3 comment="PBE-GGA NaTlH2, optimized geometry" spacegroup=Fm-3m crystal_system=cubic polymorph_energy_mev_per_atom=96.6 rho_g_cm3=6.1 final_energy_ev_per_atom=-2.360 pbc="T T T"
Na 0.000 0.000 0.000
Tl 3.153 3.153 3.153
H 1.576 1.576 1.576
H 4.729 4.729 4.729